Entry 1:
This record from Alexandria via LeMat-Bulk describes an optimized crystal structure of LiLaSb3. The functional is PBE-GGA.

Lattice parameters (Å, degrees): 6.0641 6.0641 6.0641 90.00 90.00 90.00
Last column: nearest neighbours and their distance in Å.
Space group Pm-3m (No. 221)
Asymmetric unit:
Li (0.0000, 0.0000, 0.0000) [1 per cell]  12 Sb 4.29
La (0.5000, 0.5000, 0.5000) [1 per cell]  6 Sb 3.03
Sb (0.0000, 0.5000, 0.5000) [3 per cell]  2 La 3.03

Values from the calculation:
Crystal system   cubic
Polymorph energy (0 for the lowest one)   4.88 eV per formula unit
Formation energy (no corrections)   277.4 meV/atom
DFT total energy   -3.564 eV/atom

=====

Entry 2:
This record from Alexandria via LeMat-Bulk describes an optimized crystal structure of Er5Ni2Os. The functional is PBE-GGA.

Lattice parameters (Å, degrees): 6.9996 6.9996 14.4009 90.00 90.00 90.00
Last column: nearest neighbours and their distance in Å.
Space group I4/mcm (No. 140)
Asymmetric unit:
Er (0.0000, 0.0000, 0.0000) [4 per cell]  4 Ni 2.80
Er (0.1761, 0.3239, 0.1471) [16 per cell]  3 Ni 2.94-2.98, 2 Os 2.98
Ni (0.1182, 0.3818, 0.5000) [8 per cell]  1 Ni 2.34
Os (0.0000, 0.0000, 0.2500) [4 per cell]  8 Er 2.98

Values from the calculation:
Crystal system   tetragonal
Formation energy from the elements   -372.9 meV/atom
DFT total energy   -6.074 eV/atom

=====

Entry 3:
This record from Alexandria via LeMat-Bulk describes an optimized crystal structure of Ca3SbP. The functional is PBE-GGA.

Lattice parameters (Å, degrees): 8.0229 10.3063 7.8542 90.00 90.00 90.00
Last column: nearest neighbours and their distance in Å.
Space group Pnma (No. 62)
Asymmetric unit:
Ca (0.1280, 0.2500, 0.1704) [4 per cell]  2 P 2.86-2.87, 2 Sb 3.08
Ca (0.1533, 0.0666, 0.6537) [8 per cell]  1 P 2.81, 2 Sb 3.06-3.11
Sb (0.0000, 0.0000, 0.0000) [4 per cell]  6 Ca 3.06-3.11
P (0.0486, 0.7500, 0.5133) [4 per cell]  4 Ca 2.81-2.87

Values from the calculation:
Crystal system   orthorhombic
Polymorph energy (0 for the lowest one)   0.93 eV per formula unit
Formation energy (no corrections)   -907.7 meV/atom
DFT total energy   -4.015 eV/atom

=====

Entry 4:
This record from Alexandria via LeMat-Bulk describes an optimized crystal structure of BaCrSi2Te8. The functional is PBE-GGA.

Lattice parameters (Å, degrees): 6.7922 6.7922 27.7343 90.00 90.00 120.00
Last column: nearest neighbours and their distance in Å.
Space group R-3 (No. 148, hexagonal axes)
Asymmetric unit:
Ba (0.0000, 0.0000, 0.0000) [3 per cell]  12 Te 3.80-3.93
Cr (0.0000, 0.0000, 0.5000) [3 per cell]  6 Te 2.69
Si (0.0000, 0.0000, 0.2486) [6 per cell]  4 Te 2.53-2.56
Te (0.0000, 0.0000, 0.3396) [6 per cell]  1 Si 2.53
Te (0.0130, 0.6490, 0.7805) [18 per cell]  1 Si 2.56, 1 Cr 2.69

Values from the calculation:
Crystal system   trigonal
Formation energy (no corrections)   -272.9 meV/atom
DFT total energy   -4.233 eV/atom

=====

Entry 5:
This record from Alexandria via LeMat-Bulk describes an optimized crystal structure of ZrTaRe2. The functional is PBE-GGA.

Lattice parameters (Å, degrees): 3.0763 3.0763 25.7702 90.00 90.00 120.00
Last column: nearest neighbours and their distance in Å.
Space group R-3m (No. 166, hexagonal axes)
Asymmetric unit:
Zr (0.0000, 0.0000, 0.0000) [3 per cell]  6 Re 2.85, 6 Zr 3.08
Ta (0.0000, 0.0000, 0.5000) [3 per cell]  6 Re 2.72
Re (0.0000, 0.0000, 0.2466) [6 per cell]  3 Ta 2.72, 3 Zr 2.85

Values from the calculation:
Crystal system   trigonal
Formation energy from the elements   115.8 meV/atom
DFT total energy   -11.208 eV/atom

=====

Entry 6:
This record from Alexandria via LeMat-Bulk describes an optimized crystal structure of YAg2Au. The functional is PBE-GGA.

Lattice parameters (Å, degrees): 5.8600 10.3723 3.3833 90.00 122.97 90.00
Last column: nearest neighbours and their distance in Å.
Space group C2/m (No. 12)
Asymmetric unit:
Y (0.0000, 0.0000, 0.0000) [2 per cell]  4 Au 2.93-3.04, 4 Ag 3.01
Ag (0.2500, 0.2500, 0.5000) [4 per cell]  4 Ag 2.93-3.04, 2 Y 3.01, 2 Au 3.01
Au (0.0000, 0.5000, 0.0000) [2 per cell]  4 Y 2.93-3.04, 4 Ag 3.01

Values from the calculation:
Crystal system   monoclinic
Formation energy from the elements   -165.5 meV/atom
Polymorph energy (0 for the lowest one)   1.00 eV per formula unit
DFT total energy   -4.027 eV/atom